No. 1
The following is a PBE-GGA calculation of Tb2MgIn after structural relaxation, from the Alexandria database.

```
Tb2MgIn
1.0
4.200 0.000 0.000
0.000 5.058 0.000
0.000 0.000 5.058
Mg Tb In
1 2 1
direct
0.500 0.000 0.000
0.000 0.000 0.500
0.000 0.500 0.000
0.500 0.500 0.500
```

Values from the calculation:
As for the energy of formation: -1.3 eV per formula unit. The space group is P4/mmm (123). The energy comes out at -3.711 eV/atom.

=====

No. 2
The following is a PBE-GGA calculation of TbMgIn after structural relaxation, from the Alexandria database.

```
TbMgIn
1.0
-2.443 3.674 -2.318
-0.806 -0.254 -4.912
-4.609 -0.777 -1.732
Mg Tb In
1 1 1
direct
0.500 0.500 0.500
0.000 0.000 0.000
0.250 0.250 0.250
```

Values from the calculation:
As for the energy of formation: -0.6 eV per formula unit. The space group is F-43m (216). The energy comes out at -3.194 eV/atom.

=====

No. 3
The following is a PBE-GGA calculation of Tb3MgIn12 after structural relaxation, from the Alexandria database.

```
Tb3MgIn12
1.0
4.651 0.000 0.000
0.000 4.651 0.000
0.000 0.000 18.541
Tb Mg In
3 1 12
direct
0.000 0.000 0.250
0.000 0.000 0.500
0.000 0.000 0.750
0.000 0.000 0.000
0.500 0.500 0.000
0.500 0.500 0.251
0.500 0.500 0.500
0.500 0.500 0.749
0.500 0.000 0.121
0.500 0.000 0.374
0.500 0.000 0.626
0.500 0.000 0.879
0.000 0.500 0.121
0.000 0.500 0.374
0.000 0.500 0.626
0.000 0.500 0.879
```

Values from the calculation:
As for the energy of formation: -5.0 eV per formula unit. The space group is P4/mmm (123). The energy comes out at -3.337 eV/atom.

=====

No. 4
The following is a PBE-GGA calculation of TbMg2In2 after structural relaxation, from the Alexandria database.

```
TbMg2In2
1.0
-4.196 1.493 -0.170
-1.158 -3.534 -2.458
1.310 -2.217 6.636
Tb Mg In
1 2 2
direct
0.000 0.000 0.000
0.750 0.250 0.500
0.250 0.750 0.500
0.607 0.607 0.214
0.393 0.393 0.786
```

Values from the calculation:
As for the energy of formation: -1.1 eV per formula unit. The space group is C2/m (12). The energy comes out at -2.882 eV/atom.

=====

No. 5
The following is a PBE-GGA calculation of Tb5Mg2In5 after structural relaxation, from the Alexandria database.

```
Tb5Mg2In5
1.0
-1.623 -1.359 -4.661
-3.230 -1.740 4.443
-0.683 13.802 -3.786
Tb Mg In
5 2 5
direct
0.500 0.000 0.500
0.657 0.313 0.001
0.748 0.496 0.307
0.252 0.504 0.693
0.343 0.687 0.999
0.000 0.000 0.798
0.000 0.000 0.202
0.146 0.292 0.436
0.650 0.301 0.779
0.350 0.699 0.221
0.854 0.708 0.564
0.000 0.000 0.000
```

Values from the calculation:
As for the energy of formation: -3.2 eV per formula unit. The space group is C2/m (12). The energy comes out at -3.599 eV/atom.

=====

No. 6
The following is a PBE-GGA calculation of Tb5MgIn6 after structural relaxation, from the Alexandria database.

```
Tb5MgIn6
1.0
5.063 0.008 -1.504
-1.029 6.591 -3.433
-0.114 0.501 9.196
Mg Tb In
1 5 6
direct
0.000 0.000 0.000
0.666 0.165 0.330
0.332 0.333 0.667
0.000 0.500 0.000
0.668 0.667 0.333
0.334 0.835 0.670
0.837 0.594 0.675
0.837 0.081 0.675
0.500 0.759 0.000
0.500 0.241 0.000
0.163 0.919 0.325
0.163 0.406 0.325
```

Values from the calculation:
As for the energy of formation: -5.0 eV per formula unit. The space group is C2/m (12). The energy comes out at -3.851 eV/atom.

=====

No. 7
The following is a PBE-GGA calculation of TbMg5In6 after structural relaxation, from the Alexandria database.

```
TbMg5In6
1.0
-1.595 -4.391 -0.068
8.589 -0.695 0.677
-3.461 3.583 7.064
Mg Tb In
5 1 6
direct
0.500 0.170 0.830
0.000 0.331 0.669
0.500 0.500 0.500
0.000 0.669 0.331
0.500 0.830 0.170
0.000 0.000 0.000
0.250 0.081 0.420
0.750 0.580 0.919
0.756 0.257 0.257
0.244 0.743 0.743
0.250 0.420 0.081
0.750 0.919 0.580
```

Values from the calculation:
As for the energy of formation: -2.0 eV per formula unit. The space group is C2/m (12). The energy comes out at -2.587 eV/atom.

=====

No. 8
The following is a PBE-GGA calculation of Tb12Mg2In5 after structural relaxation, from the Alexandria database.

```
Tb12Mg2In5
1.0
-8.446 4.524 -0.326
1.295 -7.503 3.290
1.308 3.012 7.898
Tb Mg In
12 2 5
direct
0.904 0.808 0.141
0.035 0.705 0.793
0.670 0.705 0.793
0.180 0.763 0.362
0.583 0.763 0.362
0.416 0.832 0.680
0.584 0.168 0.320
0.820 0.237 0.638
0.417 0.237 0.638
0.965 0.295 0.207
0.330 0.295 0.207
0.096 0.192 0.859
0.669 0.000 0.000
0.331 0.000 0.000
0.218 0.437 0.519
0.316 0.632 0.031
0.000 0.000 0.500
0.684 0.368 0.969
0.782 0.563 0.481
```

Values from the calculation:
As for the energy of formation: -3.0 eV per formula unit. The space group is C2/m (12). The energy comes out at -3.969 eV/atom.

=====

No. 9
The following is a PBE-GGA calculation of Tb3Mg7In2 after structural relaxation, from the Alexandria database.

```
Tb3Mg7In2
1.0
6.041 0.000 0.000
3.020 5.232 0.000
3.020 1.744 9.663
Tb Mg In
3 7 2
direct
0.000 0.000 0.000
0.855 0.855 0.434
0.145 0.145 0.566
0.500 0.500 0.500
0.922 0.414 0.251
0.414 0.922 0.251
0.414 0.414 0.251
0.078 0.586 0.749
0.586 0.586 0.749
0.586 0.078 0.749
0.666 0.666 0.003
0.334 0.334 0.997
```

Values from the calculation:
As for the energy of formation: -1.5 eV per formula unit. The space group is R-3m (166). The energy comes out at -2.668 eV/atom.

=====

No. 10
The following is a PBE-GGA calculation of Tb2Mg3In4 after structural relaxation, from the Alexandria database.

```
Tb2Mg3In4
1.0
-3.516 -5.001 1.669
5.603 -1.983 5.858
-2.413 7.308 4.782
Tb Mg In
4 6 8
direct
0.101 0.600 0.202
0.899 0.400 0.798
0.399 0.100 0.798
0.601 0.900 0.202
0.000 0.000 0.000
0.500 0.500 0.000
0.516 0.750 0.531
0.984 0.250 0.469
0.484 0.250 0.469
0.016 0.750 0.531
0.689 0.750 0.877
0.811 0.250 0.123
0.311 0.250 0.123
0.189 0.750 0.877
0.171 0.975 0.341
0.829 0.025 0.659
0.329 0.475 0.659
0.671 0.525 0.341
```

Values from the calculation:
As for the energy of formation: -2.4 eV per formula unit. The space group is Cmce (64). The energy comes out at -3.041 eV/atom.

=====

No. 11
The following is a PBE-GGA calculation of Tb6MgIn5 after structural relaxation, from the Alexandria database.

```
Tb6MgIn5
1.0
-2.410 -2.138 4.269
-6.358 -0.622 -3.901
1.005 -8.414 -0.297
Mg Tb In
1 6 5
direct
0.000 0.000 0.000
0.832 0.751 0.337
0.832 0.249 0.337
0.500 0.254 0.000
0.500 0.746 0.000
0.168 0.751 0.663
0.168 0.249 0.663
0.666 0.500 0.667
0.340 0.000 0.320
0.000 0.500 0.000
0.660 0.000 0.680
0.334 0.500 0.333
```

Values from the calculation:
As for the energy of formation: -5.2 eV per formula unit. The space group is Cmmm (65). The energy comes out at -4.022 eV/atom.

=====

No. 12
The following is a PBE-GGA calculation of Tb2Mg3In after structural relaxation, from the Alexandria database.

```
Tb2Mg3In
1.0
6.015 1.373 0.000
1.000 6.088 0.000
-3.507 -3.731 8.826
Tb Mg In
4 6 2
direct
0.750 0.250 0.500
0.749 0.251 0.000
0.250 0.750 0.500
0.251 0.749 0.000
0.832 0.832 0.166
0.666 0.666 0.834
0.168 0.168 0.834
0.334 0.334 0.166
0.167 0.167 0.334
0.833 0.833 0.666
0.666 0.666 0.332
0.334 0.334 0.668
```

Values from the calculation:
As for the energy of formation: -1.2 eV per formula unit. The space group is Fmmm (69). The energy comes out at -3.005 eV/atom.